DFT (GGA-PBE) results for a relaxed HgP3I crystal.

Computed properties:
For the total magnetization, the calculation gives 0.00 μB/cell. The value obtained for the density of states at the Fermi level is 6.21 states/eV/cell. As for the uncorrected formation energy: 1.391 eV/atom. The space group is Pm-3m, No. 221.

Lattice parameters (Å, degrees): 5.054 5.054 5.054 90.00 90.00 90.00
Sites, in units of the cell vectors:
Hg  0.000  0.000  0.000
P  0.000  0.000  0.500
P  0.000  0.500  0.000
P  0.500  0.000  0.000
I  0.500  0.500  0.500